[1]
A geometry-optimized ZrSb2PtPb structure. Source: Alexandria, functional PBE.

Calculated values
raw formation energy	1.060	eV per atom
space-group type	P4/mmm (123)

```
ZrSb2PtPb
1.0
-5.617 0.297 -0.262
-0.030 -3.590 -3.418
-0.395 -3.872 4.070
Pb Sb Zr Pt
1 2 1 1
Cartesian
0.000 0.000 0.000
-0.197 -1.936 2.035
-2.809 0.149 -0.131
-3.021 -3.582 0.195
-0.015 -1.795 -1.709
```

---

[2]
A geometry-optimized Sc4Pt2Pb structure. Source: Alexandria, functional PBE.

Calculated values
E_form	-0.846	eV per atom
space-group type	Cmcm (63)

```
Sc4Pt2Pb
1.0
4.807 -0.001 0.000
-2.404 4.163 0.000
0.000 0.000 14.560
Sc Pt Pb
8 4 2
Cartesian
-1.199 3.468 12.735
-1.199 3.468 9.104
3.603 0.694 1.824
3.603 0.694 5.456
-1.205 3.471 3.640
3.609 0.691 10.920
1.202 2.081 0.000
1.202 2.081 7.280
3.607 0.692 8.145
-1.203 3.470 0.865
3.607 0.692 13.695
-1.203 3.470 6.415
1.198 2.083 3.640
1.206 2.079 10.920
```

---

[3]
A geometry-optimized ScPtPb4 structure. Source: Alexandria, functional PBE.

Calculated values
E_form	0.422	eV per atom
space-group type	F-43m (216)

```
ScPtPb4
1.0
0.000 4.403 4.403
4.403 0.000 4.403
4.403 4.403 0.000
Sc Pt Pb
1 1 4
Cartesian
0.000 0.000 0.000
6.604 6.604 6.604
3.302 5.504 5.504
5.504 5.504 3.302
5.504 3.302 5.504
3.302 3.302 3.302
```

---

[4]
A geometry-optimized Sc2Pt9Pb structure. Source: Alexandria, functional PBE.

Calculated values
E_form	-0.752	eV per atom
space-group type	P4/mmm (123)

```
Sc2Pt9Pb
1.0
-2.374 -3.070 -1.120
2.281 -0.566 -3.285
7.070 -7.746 6.245
Sc Pt Pb
2 9 1
Cartesian
2.390 -2.619 2.111
4.680 -5.128 4.134
-0.047 -1.818 -2.202
2.337 -4.429 -0.097
4.640 -6.953 1.938
0.068 -2.909 0.548
2.348 -5.408 2.563
4.629 -7.907 4.577
2.395 -1.658 -0.534
4.676 -4.156 1.480
6.956 -6.655 3.495
0.000 0.000 0.000
```

---

[5]
A geometry-optimized Sc3PtPb structure. Source: Alexandria, functional PBE.

Calculated values
ΔE to the lowest computed polymorph	0.0	meV/atom
E_form	-0.447	eV per atom
space-group type	Pm-3m (221)

```
Sc3PtPb
1.0
-3.522 -2.845 2.331
3.584 -1.931 3.059
-0.825 3.756 3.338
Pb Sc Pt
1 3 1
Cartesian
-0.381 -0.510 4.364
1.792 -0.966 1.529
-0.412 1.878 1.669
-1.761 -1.422 1.165
0.000 0.000 0.000
```

---

[6]
A geometry-optimized Sc2PtPb2 structure. Source: Alexandria, functional PBE.

Calculated values
ΔE to the lowest computed polymorph	457.3	meV/atom
E_form	0.073	eV per atom
space-group type	I4/mmm (139)

```
Sc2PtPb2
1.0
4.051 0.000 0.000
0.000 4.051 0.000
2.025 2.025 7.794
Pb Sc Pt
2 2 1
Cartesian
4.051 2.025 3.897
2.025 4.051 3.897
2.025 2.025 1.430
4.051 4.051 6.363
0.000 0.000 0.000
```